A relaxed structure of Dy5ThZn6. Source: the Alexandria database, functional GGA-PBE.

```
Dy5ThZn6
1.0
4.8580 0.0211 -1.4170
-0.9849 6.3082 -3.2850
-0.0782 0.4666 8.7668
Th Zn Dy
1 6 5
Cartesian
0.0000 0.0000 0.0000 Th
1.6988 4.6865 -3.1435 Zn
0.3802 2.8348 1.3391 Zn
-0.1041 5.9352 -0.2750 Zn
2.0961 2.1093 7.2083 Zn
3.4147 3.9610 2.7257 Zn
3.8989 0.8606 4.3398 Zn
0.7506 5.5825 2.6481 Dy
-0.4925 3.1541 -1.6425 Dy
1.2387 2.4193 4.2744 Dy
3.0443 1.2133 1.4167 Dy
2.5562 4.3765 -0.2096 Dy
```

The calculation puts the density of states at the Fermi level at 1.104 states/eV per atom. Its formation energy is -0.306 eV/atom.



A relaxed structure of DyThZn. Source: the Alexandria database, functional GGA-PBE.

```
DyThZn
1.0
-2.6247 -2.5183 -0.4258
1.7156 -2.4737 4.0548
-3.5215 3.5808 0.5296
Zn Th Dy
1 1 1
Cartesian
-2.4119 0.9524 1.6015 Zn
-1.7247 -2.0813 2.6048 Th
-0.2941 -0.2822 -0.0477 Dy
```

The calculation puts the density of states at the Fermi level at 0.683 states/eV per atom. Its formation energy is 0.041 eV/atom. The calculation puts the energy above the most stable polymorph in this dataset at 184 meV/atom.



A relaxed structure of DyTh2Zn. Source: the Alexandria database, functional GGA-PBE.

```
DyTh2Zn
1.0
-3.0095 0.7981 -1.7738
1.2403 -1.7297 -2.8828
-3.7424 -7.5813 2.9385
Zn Th Dy
1 2 1
Cartesian
-0.8846 -0.4658 -2.3283 Zn
-0.8021 -1.6249 0.6298 Th
-2.9403 -5.9564 2.3087 Th
-2.7558 -4.2564 -0.8590 Dy
```

The calculation puts the density of states at the Fermi level at 1.290 states/eV per atom. Its formation energy is -0.014 eV/atom. The calculation puts the energy above the most stable polymorph in this dataset at 0 meV/atom.



A relaxed structure of DyThZn4. Source: the Alexandria database, functional GGA-PBE.

```
DyThZn4
1.0
3.9639 0.0000 -1.2240
-0.3780 3.9459 -1.2240
0.3358 0.3695 8.1180
Zn Dy Th
4 1 1
Cartesian
2.1362 2.3506 -0.1125 Zn
1.7855 1.9647 5.7824 Zn
3.4016 1.5621 3.9856 Zn
2.6911 0.7803 1.6844 Zn
0.0000 0.0000 0.0000 Dy
0.8754 3.1441 2.8350 Th
```

The calculation puts the density of states at the Fermi level at 1.289 states/eV per atom. Its formation energy is -0.248 eV/atom. The calculation puts the energy above the most stable polymorph in this dataset at 28 meV/atom.



A relaxed structure of DyTh2Zn6. Source: the Alexandria database, functional GGA-PBE.

```
DyTh2Zn6
1.0
3.5291 0.0953 -0.1486
-0.3489 6.8577 -3.8905
0.3329 -0.0511 7.8849
Dy Zn Th
1 6 2
Cartesian
0.0000 0.0000 0.0000 Dy
1.5252 6.8880 -1.3709 Zn
1.7538 4.6147 2.6064 Zn
1.7594 2.2871 1.2393 Zn
1.8634 4.5973 5.2004 Zn
1.9827 2.2534 6.5302 Zn
1.9879 0.0138 5.2166 Zn
3.6347 2.3466 3.8104 Th
-0.1216 4.5552 0.0354 Th
```

The calculation puts the density of states at the Fermi level at 1.133 states/eV per atom. Its formation energy is -0.300 eV/atom.



A relaxed structure of Dy2ThZn. Source: the Alexandria database, functional GGA-PBE.

```
Dy2ThZn
1.0
-1.6144 0.2085 -3.1682
-0.4145 -3.5377 -0.0216
-7.5522 0.8610 3.9048
Dy Th Zn
2 1 1
Cartesian
-1.5940 0.1817 0.8242 Dy
-5.9582 0.6793 3.0807 Dy
-4.7905 -1.2341 0.3575 Th
-1.0144 -1.6646 -1.5949 Zn
```

The calculation puts the density of states at the Fermi level at 1.367 states/eV per atom. Its formation energy is -0.165 eV/atom. The calculation puts the energy above the most stable polymorph in this dataset at 0 meV/atom.



A relaxed structure of DyThZn2. Source: the Alexandria database, functional GGA-PBE.

```
DyThZn2
1.0
3.5856 0.0000 0.0000
0.0000 3.5856 0.0000
0.0000 0.0000 7.3504
Zn Th Dy
2 1 1
Cartesian
0.0000 0.0000 5.3833 Zn
0.0000 0.0000 1.9671 Zn
1.7928 1.7928 0.0000 Th
1.7928 1.7928 3.6752 Dy
```

The calculation puts the density of states at the Fermi level at 1.030 states/eV per atom. Its formation energy is -0.254 eV/atom.



A relaxed structure of DyThZn4. Source: the Alexandria database, functional GGA-PBE.

```
DyThZn4
1.0
-0.2900 -3.2546 -4.4446
1.4939 -5.2981 0.3587
-3.8229 -3.9679 -0.2684
Dy Zn Th
1 4 1
Cartesian
0.0000 0.0000 0.0000 Dy
-1.4934 -6.1976 -0.4852 Zn
-2.3927 -5.1673 -2.9068 Zn
-1.6396 -7.8384 -2.7259 Zn
0.2877 -5.8380 -2.5906 Zn
-0.6548 -3.1302 -1.0886 Th
```

The calculation puts the density of states at the Fermi level at 0.726 states/eV per atom. Its formation energy is -0.276 eV/atom. The calculation puts the energy above the most stable polymorph in this dataset at 0 meV/atom.